Entry 1:
BeCd: relaxed, GGA-PBE.

Summary:
energy of formation from the pure elements: 0.407 eV per atom
DOS(E_F): 0.199 states/eV/atom
relative energy among the computed polymorphs: 26 kJ/mol of formula units

a = 6.033 Å, b = 6.033 Å, c = 6.033 Å
α = 153.53°, β = 139.11°, γ = 49.37°
Atoms (fractional coordinates):
Be1 0.420 0.170 0.250
Be2 0.580 0.830 0.750
Cd1 0.142 0.392 0.750
Cd2 0.858 0.608 0.250


Entry 2:
Be4Cd3: relaxed, GGA-PBE.

Summary:
energy of formation from the pure elements: 0.399 eV per atom
DOS(E_F): 0.276 states/eV/atom
relative energy among the computed polymorphs: 0 kJ/mol of formula units

a = 13.002 Å, b = 13.002 Å, c = 13.002 Å
α = 167.60°, β = 167.60°, γ = 17.57°
Atoms (fractional coordinates):
Be1 0.077 0.077 0.000
Be2 0.382 0.382 0.000
Be3 0.618 0.618 0.000
Be4 0.923 0.923 0.000
Cd1 0.195 0.195 0.000
Cd2 0.500 0.500 0.000
Cd3 0.805 0.805 0.000